# PBE CsRbSBr, relaxed
# Uncorrected formation energy: -0.992 eV per atom
# Space group: F-43m
data_CsRbSBr
_chemical_formula_sum 'Cs1 Rb1 S1 Br1'
_symmetry_space_group_name_H-M 'P 1'
_symmetry_Int_Tables_number 1
_cell_length_a 6.003
_cell_length_b 6.003
_cell_length_c 6.003
_cell_angle_alpha 60.00
_cell_angle_beta 60.00
_cell_angle_gamma 60.00
loop_
_symmetry_equiv_pos_as_xyz
'x,y,z'
loop_
_atom_site_label
_atom_site_type_symbol
_atom_site_fract_x
_atom_site_fract_y
_atom_site_fract_z
Cs1 Cs 0.000 0.000 0.000
Rb1 Rb 0.500 0.500 0.500
S1 S 0.750 0.750 0.750
Br1 Br 0.250 0.250 0.250